Compound: AcPm2Y
Source: the Alexandria database
Functional: PBE-GGA
Structure: optimized geometry

Values from the calculation:
E above lowest polymorph   125 meV/atom
Formation energy   0.63 eV per formula unit
Volume   36.67 Å³ per atom
Crystal system   cubic
ρ   6.86 g cm⁻³
Density of states at the Fermi level   10.417 states/eV/f.u.

a = 5.920 Å, b = 5.920 Å, c = 5.920 Å
α = 60.00°, β = 60.00°, γ = 60.00°
Site moments in Bohr magnetons follow the coordinates.
Fractional coordinates of all 4 atoms:
1 Pm 0.250 0.250 0.250  0.11
2 Y 0.500 0.500 0.500  0.12
3 Ac 0.000 0.000 0.000  0.06
4 Pm 0.750 0.750 0.750  0.11


Compound: AcPm2Y6
Source: the Alexandria database
Functional: PBE-GGA
Structure: optimized geometry

Values from the calculation:
E above lowest polymorph   142 meV/atom
Formation energy   2.33 eV per formula unit
Volume   36.34 Å³ per atom
Crystal system   monoclinic
ρ   5.33 g cm⁻³
Density of states at the Fermi level   14.988 states/eV/f.u.

a = 6.014 Å, b = 8.754 Å, c = 16.984 Å
α = 132.98°, β = 90.00°, γ = 90.00°
Fractional coordinates of all 18 atoms:
1 Pm 0.836 0.392 0.335
2 Y 0.199 0.155 0.375
3 Y 0.726 0.895 0.263
4 Ac 0.000 0.000 0.500
5 Y 0.274 0.105 0.737
6 Y 0.347 0.620 0.460
7 Y 0.153 0.120 0.960
8 Pm 0.336 0.108 0.165
9 Y 0.774 0.395 0.763
10 Ac 0.500 0.500 0.000
11 Y 0.847 0.880 0.040
12 Y 0.653 0.380 0.540
13 Y 0.699 0.345 0.125
14 Y 0.301 0.655 0.875
15 Pm 0.164 0.608 0.665
16 Y 0.226 0.605 0.237
17 Y 0.801 0.845 0.625
18 Pm 0.664 0.892 0.835


Compound: Ac3PmY
Source: the Alexandria database
Functional: PBE-GGA
Structure: optimized geometry

Values from the calculation:
E above lowest polymorph   121 meV/atom
Formation energy   0.88 eV per formula unit
Volume   41.39 Å³ per atom
Crystal system   orthorhombic
ρ   7.34 g cm⁻³
Density of states at the Fermi level   7.489 states/eV/f.u.

a = 6.595 Å, b = 9.436 Å, c = 13.301 Å
α = 90.00°, β = 90.00°, γ = 90.00°
Fractional coordinates of all 20 atoms:
1 Y 0.750 0.000 0.304
2 Ac 0.589 0.326 0.429
3 Ac 0.145 0.250 0.250
4 Ac 0.355 0.750 0.250
5 Ac 0.089 0.326 0.571
6 Ac 0.089 0.174 0.929
7 Ac 0.645 0.250 0.750
8 Ac 0.855 0.750 0.750
9 Pm 0.250 0.000 0.442
10 Y 0.250 0.500 0.804
11 Ac 0.911 0.826 0.071
12 Ac 0.911 0.674 0.429
13 Y 0.750 0.500 0.196
14 Pm 0.750 0.500 0.942
15 Ac 0.411 0.674 0.571
16 Y 0.250 0.000 0.696
17 Pm 0.750 0.000 0.558
18 Ac 0.589 0.174 0.071
19 Pm 0.250 0.500 0.058
20 Ac 0.411 0.826 0.929


Compound: Ac2Pm5Y
Source: the Alexandria database
Functional: PBE-GGA
Structure: optimized geometry

Values from the calculation:
E above lowest polymorph   4 meV/atom
Formation energy   0.28 eV per formula unit
Volume   36.64 Å³ per atom
Crystal system   tetragonal
ρ   7.18 g cm⁻³
Density of states at the Fermi level   13.764 states/eV/f.u.

a = 5.301 Å, b = 5.301 Å, c = 11.083 Å
α = 103.84°, β = 103.84°, γ = 90.00°
Fractional coordinates of all 8 atoms:
1 Y 0.000 0.000 0.000
2 Ac 0.250 0.250 0.499
3 Pm 0.619 0.119 0.238
4 Ac 0.750 0.750 0.501
5 Pm 0.881 0.381 0.762
6 Pm 0.119 0.619 0.238
7 Pm 0.500 0.500 0.000
8 Pm 0.381 0.881 0.762


Compound: Ac6Pm3Y
Source: the Alexandria database
Functional: PBE-GGA
Structure: optimized geometry

Values from the calculation:
Formation energy   0.72 eV per formula unit
Volume   40.58 Å³ per atom
Crystal system   monoclinic
ρ   7.72 g cm⁻³
Density of states at the Fermi level   16.794 states/eV/f.u.

a = 3.826 Å, b = 12.791 Å, c = 17.093 Å
α = 103.96°, β = 90.00°, γ = 90.00°
Fractional coordinates of all 20 atoms:
1 Ac 0.750 0.154 0.389
2 Y 0.250 0.377 0.945
3 Ac 0.250 0.869 0.022
4 Ac 0.250 0.389 0.541
5 Pm 0.750 0.612 0.671
6 Pm 0.250 0.116 0.574
7 Pm 0.250 0.111 0.789
8 Ac 0.250 0.846 0.611
9 Y 0.750 0.623 0.055
10 Ac 0.750 0.342 0.738
11 Pm 0.750 0.889 0.211
12 Ac 0.750 0.864 0.817
13 Ac 0.750 0.611 0.459
14 Ac 0.250 0.608 0.856
15 Pm 0.750 0.884 0.426
16 Ac 0.250 0.658 0.262
17 Pm 0.250 0.388 0.329
18 Ac 0.750 0.131 0.978
19 Ac 0.250 0.136 0.183
20 Ac 0.750 0.392 0.144


Compound: Ac12Pm3Y
Source: the Alexandria database
Functional: PBE-GGA
Structure: optimized geometry

Values from the calculation:
Formation energy   0.42 eV per formula unit
Volume   42.05 Å³ per atom
Crystal system   tetragonal
ρ   8.02 g cm⁻³
Density of states at the Fermi level   26.097 states/eV/f.u.

a = 5.525 Å, b = 5.525 Å, c = 22.040 Å
α = 90.00°, β = 90.00°, γ = 90.00°
Fractional coordinates of all 16 atoms:
1 Ac 0.500 0.000 0.876
2 Y 0.000 0.000 0.000
3 Ac 0.500 0.000 0.375
4 Ac 0.000 0.500 0.375
5 Ac 0.000 0.500 0.625
6 Ac 0.500 0.500 0.751
7 Pm 0.000 0.000 0.751
8 Ac 0.500 0.500 0.249
9 Ac 0.000 0.500 0.876
10 Ac 0.500 0.500 0.000
11 Pm 0.000 0.000 0.500
12 Ac 0.500 0.500 0.500
13 Ac 0.500 0.000 0.625
14 Ac 0.000 0.500 0.124
15 Ac 0.500 0.000 0.124
16 Pm 0.000 0.000 0.249


Compound: Ac3Pm2Y
Source: the Alexandria database
Functional: PBE-GGA
Structure: optimized geometry

Values from the calculation:
Formation energy   0.71 eV per formula unit
Volume   39.34 Å³ per atom
Crystal system   monoclinic
ρ   7.46 g cm⁻³
Density of states at the Fermi level   8.510 states/eV/f.u.

a = 7.138 Å, b = 9.493 Å, c = 7.138 Å
α = 82.63°, β = 84.00°, γ = 97.37°
Fractional coordinates of all 12 atoms:
1 Y 0.882 0.250 0.882
2 Ac 0.299 0.478 0.865
3 Pm 0.115 0.381 0.382
4 Ac 0.444 0.750 0.444
5 Ac 0.701 0.522 0.135
6 Pm 0.618 0.881 0.885
7 Ac 0.135 0.978 0.701
8 Pm 0.382 0.119 0.115
9 Ac 0.556 0.250 0.556
10 Pm 0.885 0.619 0.618
11 Ac 0.865 0.022 0.299
12 Y 0.118 0.750 0.118


Compound: Ac3Pm8Y
Source: the Alexandria database
Functional: PBE-GGA
Structure: optimized geometry

Values from the calculation:
Formation energy   2.85 eV per formula unit
Volume   39.21 Å³ per atom
Crystal system   orthorhombic
ρ   6.81 g cm⁻³
Density of states at the Fermi level   15.418 states/eV/f.u.

a = 9.031 Å, b = 9.031 Å, c = 9.031 Å
α = 98.83°, β = 136.55°, γ = 96.93°
Fractional coordinates of all 12 atoms:
1 Ac 0.500 0.757 0.257
2 Pm 0.173 0.926 0.753
3 Pm 0.022 0.763 0.258
4 Pm 0.978 0.237 0.742
5 Ac 0.000 0.500 0.500
6 Ac 0.500 0.243 0.743
7 Pm 0.495 0.237 0.258
8 Pm 0.505 0.763 0.742
9 Pm 0.827 0.074 0.247
10 Pm 0.827 0.580 0.753
11 Pm 0.173 0.420 0.247
12 Y 0.000 0.000 0.000


Compound: Ac6Pm2Y3
Source: the Alexandria database
Functional: PBE-GGA
Structure: optimized geometry

Values from the calculation:
Formation energy   1.98 eV per formula unit
Volume   41.15 Å³ per atom
Crystal system   monoclinic
ρ   7.04 g cm⁻³
Density of states at the Fermi level   13.832 states/eV/f.u.

a = 6.642 Å, b = 6.626 Å, c = 12.076 Å
α = 84.95°, β = 79.88°, γ = 59.92°
Fractional coordinates of all 11 atoms:
1 Y 0.666 0.668 0.000
2 Pm 0.831 0.338 0.500
3 Pm 0.169 0.662 0.500
4 Ac 0.746 0.000 0.745
5 Y 0.334 0.332 0.000
6 Ac 0.586 0.332 0.251
7 Ac 0.414 0.668 0.749
8 Ac 0.254 0.000 0.255
9 Y 0.000 0.000 0.000
10 Ac 0.082 0.332 0.749
11 Ac 0.918 0.668 0.251


Compound: AcPmY2
Source: the Alexandria database
Functional: PBE-GGA
Structure: optimized geometry

Values from the calculation:
E above lowest polymorph   6 meV/atom
Formation energy   0.17 eV per formula unit
Volume   36.02 Å³ per atom
Crystal system   orthorhombic
ρ   6.34 g cm⁻³
Density of states at the Fermi level   6.680 states/eV/f.u.

a = 5.936 Å, b = 6.465 Å, c = 15.019 Å
α = 90.00°, β = 90.00°, γ = 90.00°
Fractional coordinates of all 16 atoms:
1 Y 0.250 0.592 0.194
2 Pm 0.750 0.917 0.188
3 Ac 0.750 0.416 0.066
4 Ac 0.750 0.916 0.434
5 Pm 0.750 0.417 0.312
6 Pm 0.250 0.583 0.688
7 Y 0.750 0.908 0.694
8 Y 0.750 0.422 0.565
9 Ac 0.250 0.084 0.566
10 Y 0.750 0.408 0.806
11 Pm 0.250 0.083 0.812
12 Y 0.250 0.578 0.435
13 Y 0.250 0.078 0.065
14 Y 0.750 0.922 0.935
15 Ac 0.250 0.584 0.934
16 Y 0.250 0.092 0.306


Compound: Ac2Pm2Y3
Source: the Alexandria database
Functional: PBE-GGA
Structure: optimized geometry

Values from the calculation:
Formation energy   1.10 eV per formula unit
Volume   36.47 Å³ per atom
Crystal system   monoclinic
ρ   6.57 g cm⁻³
Density of states at the Fermi level   11.469 states/eV/f.u.

a = 3.587 Å, b = 5.825 Å, c = 12.562 Å
α = 76.60°, β = 90.00°, γ = 90.00°
Fractional coordinates of all 7 atoms:
1 Y 0.000 0.718 0.564
2 Y 0.000 0.000 0.000
3 Pm 0.500 0.850 0.300
4 Pm 0.500 0.150 0.700
5 Y 0.000 0.282 0.436
6 Ac 0.000 0.577 0.845
7 Ac 0.000 0.423 0.155


Compound: Ac2Pm2Y
Source: the Alexandria database
Functional: PBE-GGA
Structure: optimized geometry

Values from the calculation:
E above lowest polymorph   0 meV/atom
Formation energy   0.44 eV per formula unit
Volume   38.37 Å³ per atom
Crystal system   monoclinic
ρ   7.21 g cm⁻³
Density of states at the Fermi level   7.465 states/eV/f.u.

a = 6.801 Å, b = 9.857 Å, c = 9.662 Å
α = 39.63°, β = 69.40°, γ = 69.82°
Fractional coordinates of all 10 atoms:
1 Y 0.576 0.750 0.250
2 Ac 0.445 0.693 0.691
3 Y 0.424 0.250 0.750
4 Pm 0.977 0.335 0.487
5 Ac 0.829 0.807 0.809
6 Ac 0.171 0.193 0.191
7 Pm 0.800 0.165 0.013
8 Ac 0.555 0.307 0.309
9 Pm 0.023 0.665 0.513
10 Pm 0.200 0.835 0.987


Table of magnetic moment (Bohr magnetons per cell), in record order: 0.79, 0.00, 0.00, 0.00, 0.00, 0.00, 0.00, 0.00, 0.00, 0.00, 0.00, 0.00